# CrFe2I (PBE, relaxed)
# Polymorph energy (0 for the lowest one) (meV/atom): 0
# Total moment (μB per cell): 4.81
# Formation energy without anion corrections (eV per atom): 0.8871
# Density of states at the Fermi level (states/eV/atom): 0.685
# Crystal system: cubic
data_CrFe2I
_chemical_formula_sum 'Cr1 Fe2 I1'
_symmetry_space_group_name_H-M 'P 1'
_symmetry_Int_Tables_number 1
_symmetry_space_group_name_Hall 'P 1'
_cell_length_a 4.2672
_cell_length_b 4.2672
_cell_length_c 4.2672
_cell_angle_alpha 60.00
_cell_angle_beta 60.00
_cell_angle_gamma 60.00
loop_
_atom_site_label
_atom_site_fract_x
_atom_site_fract_y
_atom_site_fract_z
Cr1 0.0000 0.0000 0.0000
Fe1 0.2500 0.2500 0.2500
I1 0.5000 0.5000 0.5000
Fe2 0.7500 0.7500 0.7500

***

# NdMg2SnBi (PBE, relaxed)
# Calculated formation energy (eV per atom): -0.3055
# Total moment (μB per cell): 0.00
# Density of states at the Fermi level (states/eV/atom): 0.182
# Crystal system: orthorhombic
data_NdMg2SnBi
_chemical_formula_sum 'Nd2 Mg4 Sn2 Bi2'
_symmetry_space_group_name_H-M 'P 1'
_symmetry_Int_Tables_number 1
_symmetry_space_group_name_Hall 'P 1'
_cell_length_a 4.2998
_cell_length_b 8.1644
_cell_length_c 8.8828
_cell_angle_alpha 90.00
_cell_angle_beta 90.00
_cell_angle_gamma 105.27
loop_
_atom_site_label
_atom_site_fract_x
_atom_site_fract_y
_atom_site_fract_z
Sn1 0.0000 0.0000 0.0000
Bi1 0.2437 0.4873 0.2500
Mg1 0.1711 0.3422 0.9338
Bi2 0.7563 0.5127 0.7500
Mg2 0.8289 0.6578 0.0662
Nd1 0.4398 0.8795 0.7500
Mg3 0.1711 0.3422 0.5662
Nd2 0.5602 0.1205 0.2500
Mg4 0.8289 0.6578 0.4338
Sn2 0.0000 0.0000 0.5000

***

# K2SnPb (PBE, relaxed)
# Polymorph energy (0 for the lowest one) (meV/atom): 301
# Calculated formation energy (eV per atom): 0.1500
# Total moment (μB per cell): 0.00
# Density of states at the Fermi level (states/eV/atom): 0.702
# Crystal system: trigonal
data_K2SnPb
_chemical_formula_sum 'K2 Sn1 Pb1'
_symmetry_space_group_name_H-M 'P 1'
_symmetry_Int_Tables_number 1
_symmetry_space_group_name_Hall 'P 1'
_cell_length_a 3.6695
_cell_length_b 3.6695
_cell_length_c 13.0585
_cell_angle_alpha 81.92
_cell_angle_beta 81.92
_cell_angle_gamma 60.00
loop_
_atom_site_label
_atom_site_fract_x
_atom_site_fract_y
_atom_site_fract_z
Sn1 0.0000 0.0000 0.0000
K1 0.9106 0.9106 0.2681
Pb1 0.5000 0.5000 0.5000
K2 0.0894 0.0894 0.7319